Entry w
DFT (PBE) results for a geometry-optimized Zr3RuS structure. Values from VASP.

Output
V, Å³/f.u.: 125.68
Space-group type: Pm-3m (221)

Cell and atoms, written as Quantum ESPRESSO input:
```
&SYSTEM
  ibrav = 0, nat = 5, ntyp = 3
/
ATOMIC_SPECIES
Ru 101.07 Ru.upf
S 32.06 S.upf
Zr 91.22 Zr.upf
ATOMIC_POSITIONS crystal
Ru 0.000 0.000 0.000
S 0.500 0.500 0.500
Zr 0.000 0.500 0.000
Zr 0.000 0.000 0.500
Zr 0.500 0.000 0.000
CELL_PARAMETERS angstrom
5.009 0.000 0.000
0.000 5.009 0.000
0.000 0.000 5.009
```



Entry x
DFT (PBE) results for a geometry-optimized Zr3RuS structure. Values from VASP.

Output
V, Å³/f.u.: 106.37
Space-group type: Pm-3m (221)

Cell and atoms, written as Quantum ESPRESSO input:
```
&SYSTEM
  ibrav = 0, nat = 5, ntyp = 3
/
ATOMIC_SPECIES
Ru 101.07 Ru.upf
S 32.06 S.upf
Zr 91.22 Zr.upf
ATOMIC_POSITIONS crystal
Ru 0.500 0.500 0.500
S 0.000 0.000 0.000
Zr 0.000 0.500 0.000
Zr 0.000 0.000 0.500
Zr 0.500 0.000 0.000
CELL_PARAMETERS angstrom
-1.874 -4.307 -0.618
2.644 -1.662 3.563
-3.456 1.065 3.061
```



Most stable = entry x